## A
11
Lattice="4.401 0.000 -1.340 -1.137 6.581 -3.737 0.064 0.169 8.113" Properties=species:S:1:pos:R:3 comment="Sc8AlZn2 (PBE, optimized geometry)" volume_a3_per_atom=21.7 mass_density_g_cm3=3.6 m_tot_mub_per_fu=1.1 dos_ef_per_ev_cell=14.1 pbc="T T T"
Sc 2.855 5.785 1.482
Sc 3.681 4.705 4.197
Sc 0.473 0.964 1.554
Sc 1.934 5.849 -1.545
Zn 3.231 2.102 2.717
Sc -0.353 2.044 -1.161
Sc 2.430 2.977 0.086
Zn 0.097 4.648 0.319
Sc 1.394 0.901 4.581
Sc 0.898 3.772 2.950
Al 2.200 0.000 -0.670



## B
11
Lattice="-1.730 -4.410 -1.251 7.599 -1.162 -0.909 -2.577 0.506 7.282" Properties=species:S:1:pos:R:3 comment="Sc8AlZn2 (PBE, optimized geometry)" volume_a3_per_atom=22.4 mass_density_g_cm3=3.5 m_tot_mub_per_fu=1.2 dos_ef_per_ev_cell=15.8 pbc="T T T"
Sc 3.644 -4.664 2.984
Zn 0.558 -0.008 4.758
Sc -1.153 -2.074 4.814
Zn 4.464 -0.648 1.615
Sc 1.247 -4.271 4.913
Sc -0.352 -0.402 2.138
Sc 2.045 -0.795 0.208
Al -0.865 -2.205 -0.626
Sc 2.523 -1.738 3.488
Sc 0.769 -3.328 1.634
Sc 4.445 -2.992 0.308



A is preferred energetically. Next in line: 0.058 eV/atom higher.



## A
6
Lattice="3.235 0.000 -0.861 -0.314 4.147 -1.178 0.451 0.113 8.203" Properties=species:S:1:pos:R:3 comment="Sc2AlZn3 (PBE, optimized geometry)" volume_a3_per_atom=18.7 mass_density_g_cm3=4.6 m_tot_mub_per_fu=0.0 dos_ef_per_ev_cell=5.7 pbc="T T T"
Zn 1.007 3.404 3.783
Zn 2.204 2.924 1.774
Al 1.611 4.094 6.051
Zn 1.608 2.242 -0.465
Sc 3.035 1.620 4.894
Sc 0.496 0.567 1.864



## B
12
Lattice="5.379 -0.733 0.000 -0.941 5.347 0.000 -2.219 -2.307 7.602" Properties=species:S:1:pos:R:3 comment="Sc2AlZn3 (PBE, optimized geometry)" volume_a3_per_atom=17.8 mass_density_g_cm3=4.9 m_tot_mub_per_fu=0.2 dos_ef_per_ev_cell=9.5 pbc="T T T"
Zn 1.583 -1.523 6.343
Zn 2.219 2.307 5.082
Zn 3.802 0.784 1.259
Al 2.219 2.307 2.534
Zn 0.636 3.830 1.259
Sc 3.338 3.471 0.000
Zn -1.583 1.523 6.343
Sc -0.470 2.673 3.801
Sc 2.690 -0.366 3.801
Sc 1.100 1.143 0.000
Zn 0.000 0.000 2.521
Al 0.000 0.000 5.068



B is preferred energetically. Next in line: 0.143 eV/atom higher.



## A
5
Lattice="4.992 0.000 0.000 0.000 4.992 0.000 0.000 0.000 4.992" Properties=species:S:1:pos:R:3 comment="Sc3AlZn (PBE, optimized geometry)" volume_a3_per_atom=24.9 mass_density_g_cm3=3.0 m_tot_mub_per_fu=0.0 dos_ef_per_ev_cell=6.6 pbc="T T T"
Sc 2.496 0.000 0.000
Sc 0.000 0.000 2.496
Zn 0.000 0.000 0.000
Al 2.496 2.496 2.496
Sc 0.000 2.496 0.000



## B
10
Lattice="4.727 0.000 0.000 0.000 7.348 0.000 0.000 -3.673 6.365" Properties=species:S:1:pos:R:3 comment="Sc3AlZn (PBE, optimized geometry)" volume_a3_per_atom=22.1 mass_density_g_cm3=3.4 m_tot_mub_per_fu=0.0 dos_ef_per_ev_cell=5.0 pbc="T T T"
Sc 1.182 3.674 3.888
Sc 3.545 -1.528 5.126
Al 1.182 0.003 4.242
Sc 3.545 0.002 2.476
Zn 0.000 0.000 0.000
Sc 3.545 1.532 5.126
Zn 2.363 0.000 0.000
Sc 1.182 2.144 1.239
Al 3.545 3.673 2.122
Sc 1.182 5.204 1.238



B is preferred energetically. Next in line: 0.347 eV/atom higher.



## A
10
Lattice="7.995 0.000 0.000 0.000 7.995 0.000 0.000 0.000 3.317" Properties=species:S:1:pos:R:3 comment="Sc2Al2Zn (PBE, optimized geometry)" volume_a3_per_atom=21.2 mass_density_g_cm3=3.3 m_tot_mub_per_fu=0.0 dos_ef_per_ev_cell=7.0 pbc="T T T"
Zn 3.997 3.997 0.000
Sc 1.444 2.553 0.000
Al 4.920 7.073 1.658
Sc 2.553 6.551 0.000
Zn 0.000 0.000 0.000
Sc 6.551 5.441 0.000
Al 0.922 4.920 1.658
Al 3.075 0.922 1.658
Al 7.073 3.075 1.658
Sc 5.441 1.444 0.000



## B
10
Lattice="-5.810 0.931 3.009 -2.443 -5.317 -3.072 1.328 -2.547 3.352" Properties=species:S:1:pos:R:3 comment="Sc2Al2Zn (PBE, optimized geometry)" volume_a3_per_atom=19.3 mass_density_g_cm3=3.6 m_tot_mub_per_fu=0.0 dos_ef_per_ev_cell=3.3 pbc="T T T"
Zn 0.000 0.000 0.000
Al -6.567 -2.590 0.634
Sc -1.680 -1.849 2.167
Al -4.209 -4.246 -1.559
Zn -4.127 -2.193 -0.031
Sc -4.993 -2.270 3.159
Al -4.044 -0.140 1.496
Al -1.686 -1.796 -0.697
Sc -1.933 -4.663 0.129
Sc -5.245 -5.084 1.121



## C
10
Lattice="4.302 0.000 0.922 2.203 5.019 0.220 0.324 -1.134 8.988" Properties=species:S:1:pos:R:3 comment="Sc2Al2Zn (PBE, optimized geometry)" volume_a3_per_atom=19.1 mass_density_g_cm3=3.6 m_tot_mub_per_fu=0.0 dos_ef_per_ev_cell=7.9 pbc="T T T"
Sc 4.779 0.254 9.198
Zn 3.077 -0.042 6.640
Sc 3.679 0.912 3.832
Zn 3.752 3.926 3.489
Sc 2.051 3.630 0.931
Al 1.084 0.958 5.440
Al 4.913 3.132 8.572
Sc 3.151 2.972 6.297
Al 5.745 2.926 4.689
Al 1.916 0.752 1.558



C is preferred energetically. Next in line: 0.009 eV/atom higher.



## A
10
Lattice="4.901 0.000 -1.107 0.023 5.591 0.100 -0.725 0.831 8.190" Properties=species:S:1:pos:R:3 comment="Zr3ScAl (PBE, optimized geometry)" volume_a3_per_atom=21.9 mass_density_g_cm3=5.2 m_tot_mub_per_fu=0.0 dos_ef_per_ev_cell=9.1 pbc="T T T"
Zr 0.554 4.122 2.451
Al 2.691 4.830 0.513
Zr 3.645 2.299 4.732
Sc 3.344 5.041 3.401
Zr 1.300 4.274 5.752
Zr 2.899 2.147 1.431
Sc 0.855 1.381 3.782
Al 1.507 1.592 6.670
Zr 4.050 5.128 6.527
Zr 0.148 1.294 0.655



## B
5
Lattice="-3.264 1.298 -3.667 2.958 -2.281 -3.440 -2.527 -4.347 0.710" Properties=species:S:1:pos:R:3 comment="Zr3ScAl (PBE, optimized geometry)" volume_a3_per_atom=26.2 mass_density_g_cm3=4.4 m_tot_mub_per_fu=0.0 dos_ef_per_ev_cell=9.9 pbc="T T T"
Sc -1.416 -2.665 -3.199
Al 0.000 0.000 0.000
Zr -1.632 0.649 -1.834
Zr 1.479 -1.141 -1.720
Zr -1.263 -2.174 0.355



A is preferred energetically. Next in line: 0.672 eV/atom higher.



## A
10
Lattice="-2.642 -2.657 -3.176 4.153 2.175 -1.466 5.515 -8.710 2.698" Properties=species:S:1:pos:R:3 comment="Zr3ScAl (PBE, optimized geometry)" volume_a3_per_atom=22.3 mass_density_g_cm3=5.2 m_tot_mub_per_fu=0.0 dos_ef_per_ev_cell=6.9 pbc="T T T"
Zr 6.943 -7.368 0.311
Zr 4.179 -6.539 1.918
Zr 1.406 -2.194 0.565
Al 0.035 -0.011 -0.108
Sc 3.296 -1.628 -1.470
Zr 5.182 -4.586 -0.551
Zr 0.153 -1.846 -2.472
Al 2.793 -4.366 1.241
Sc 3.800 -7.586 -0.688
Zr 1.915 -4.628 -1.610



## B
5
Lattice="4.988 0.000 0.000 0.000 4.988 0.000 0.000 0.000 4.988" Properties=species:S:1:pos:R:3 comment="Zr3ScAl (PBE, optimized geometry)" volume_a3_per_atom=24.8 mass_density_g_cm3=4.6 m_tot_mub_per_fu=0.0 dos_ef_per_ev_cell=8.6 pbc="T T T"
Sc 0.000 0.000 0.000
Zr 2.494 0.000 0.000
Zr 0.000 0.000 2.494
Al 2.494 2.494 2.494
Zr 0.000 2.494 0.000



A is preferred energetically. Next in line: 1.101 eV/atom higher.



## A
3
Lattice="4.677 0.000 0.000 2.339 4.051 0.000 2.339 1.350 3.819" Properties=species:S:1:pos:R:3 comment="ZrScAl (PBE, optimized geometry)" volume_a3_per_atom=24.1 mass_density_g_cm3=3.7 m_tot_mub_per_fu=0.0 dos_ef_per_ev_cell=4.1 pbc="T T T"
Zr 4.677 2.700 1.910
Sc 0.000 0.000 0.000
Al 7.016 4.051 2.864



## B
6
Lattice="4.788 -0.007 0.002 0.005 4.788 0.002 2.393 2.386 6.230" Properties=species:S:1:pos:R:3 comment="ZrScAl (PBE, optimized geometry)" volume_a3_per_atom=23.8 mass_density_g_cm3=3.8 m_tot_mub_per_fu=0.0 dos_ef_per_ev_cell=5.0 pbc="T T T"
Sc 2.199 4.299 0.678
Zr 4.589 1.899 3.793
Al 4.590 4.292 5.376
Al 2.196 1.905 2.209
Sc 4.590 1.901 0.679
Zr 2.197 4.298 3.792



B is preferred energetically. Next in line: 0.057 eV/atom higher.



## A
10
Lattice="8.238 0.000 0.000 0.000 8.238 0.000 0.000 0.000 3.032" Properties=species:S:1:pos:R:3 comment="ZrSc2Al2 (PBE, optimized geometry)" volume_a3_per_atom=20.6 mass_density_g_cm3=3.8 m_tot_mub_per_fu=0.0 dos_ef_per_ev_cell=6.5 pbc="T T T"
Al 5.563 6.794 1.516
Sc 7.219 5.138 0.000
Zr 0.000 0.000 0.000
Sc 3.100 7.219 0.000
Sc 5.138 1.019 0.000
Al 2.675 1.444 1.516
Zr 4.119 4.119 0.000
Al 6.794 2.675 1.516
Sc 1.019 3.100 0.000
Al 1.444 5.563 1.516



## B
10
Lattice="3.996 0.000 -0.534 0.000 4.380 0.000 -0.475 0.000 11.611" Properties=species:S:1:pos:R:3 comment="ZrSc2Al2 (PBE, optimized geometry)" volume_a3_per_atom=20.2 mass_density_g_cm3=3.9 m_tot_mub_per_fu=0.0 dos_ef_per_ev_cell=6.5 pbc="T T T"
Al 1.378 3.285 10.267
Al 1.070 1.095 7.968
Sc 0.144 3.285 1.084
Sc 2.775 1.095 5.515
Zr 3.085 3.285 7.822
Al 2.143 1.095 0.810
Al 2.451 3.285 3.109
Sc 0.746 3.285 5.561
Sc 3.378 1.095 9.993
Zr 0.437 1.095 3.255



B is preferred energetically. Next in line: 0.181 eV/atom higher.